[1]
Computed, not measured: Pm2NiBr after structural relaxation at the PBE level of DFT.

abc: 8.032 8.032 8.032
angles: 29.22 29.22 29.22
Fractional coordinates of all 4 atoms:
Pm: 0.231 0.231 0.231
Pm: 0.769 0.769 0.769
Ni: 0.500 0.500 0.500
Br: 0.000 0.000 0.000

Output
Energy above the lowest structure with this stoichiometry in eV per atom: 0.0000
Spin magnetization in μB per atom: 0.00
Energy relative to the elements, uncorrected in meV/atom: -810.3

[2]
Computed, not measured: PmPrNiBr after structural relaxation at the PBE level of DFT.

abc: 8.148 8.148 8.148
angles: 28.88 28.88 28.88
Fractional coordinates of all 4 atoms:
Pm: 0.000 0.000 0.000
Pr: 0.205 0.205 0.205
Ni: 0.604 0.604 0.604
Br: 0.433 0.433 0.433

Output
Spin magnetization in μB per atom: 0.00
Energy relative to the elements, uncorrected in meV/atom: -790.4

- Which formula does entry 1 have?
  Pm2NiBr

- The highest energy relative to the elements, uncorrected belongs to which entry?
  PmPrNiBr